[1]
The following is a DFT calculation (PBEsol) of a geometry-optimized Mg2BiPO6 structure.

Results
Electronic total energy   -136.36 eV for the cell shown
Energy relative to the elements, uncorrected   -2.317 eV/atom

POSCAR file:
```
Mg2BiPO6
1.0
3.9195 -5.9649 0.0000
3.9195 5.9649 0.0000
0.0000 0.0000 5.2752
Mg Bi P O
4 2 2 12
Direct
0.0985 0.2915 0.2500
0.2915 0.0985 0.7500
0.7085 0.9015 0.2500
0.9015 0.7085 0.7500
0.4015 0.5985 0.7500
0.5985 0.4015 0.2500
0.1978 0.8022 0.2500
0.8022 0.1978 0.7500
0.1062 0.5686 0.2500
0.1229 0.8771 0.0067
0.1229 0.8771 0.4933
0.3286 0.3286 0.0000
0.3286 0.3286 0.5000
0.4314 0.8938 0.2500
0.5686 0.1062 0.7500
0.6714 0.6714 0.0000
0.6714 0.6714 0.5000
0.8771 0.1229 0.5067
0.8771 0.1229 0.9933
0.8938 0.4314 0.7500
```

***

[2]
The following is a DFT calculation (PBEsol) of a geometry-optimized Mg2BiPO6 structure.

Results
Electronic total energy   -272.85 eV for the cell shown
Energy relative to the elements, uncorrected   -2.320 eV/atom

POSCAR file:
```
Mg2BiPO6
1.0
11.8632 0.0000 0.0000
0.0000 5.2834 0.0000
0.0000 0.0000 7.8467
Mg Bi P O
8 4 4 24
Direct
0.0938 0.2500 0.2049
0.0999 0.2500 0.8114
0.4001 0.7500 0.3114
0.4062 0.7500 0.7049
0.5938 0.2500 0.2951
0.5999 0.2500 0.6886
0.9001 0.7500 0.1886
0.9062 0.7500 0.7951
0.0985 0.7500 0.4879
0.4015 0.2500 0.9879
0.5985 0.7500 0.0121
0.9015 0.2500 0.5121
0.1983 0.7500 0.0252
0.3017 0.2500 0.5252
0.6983 0.7500 0.4748
0.8017 0.2500 0.9748
0.0065 0.0022 0.6730
0.0065 0.4978 0.6730
0.1248 0.5062 0.0079
0.1248 0.9938 0.0079
0.2098 0.2500 0.3879
0.2489 0.7500 0.2060
0.2511 0.2500 0.7060
0.2902 0.7500 0.8879
0.3752 0.0062 0.5079
0.3752 0.4938 0.5079
0.4935 0.5022 0.1730
0.4935 0.9978 0.1730
0.5065 0.0022 0.8270
0.5065 0.4978 0.8270
0.6248 0.5062 0.4921
0.6248 0.9938 0.4921
0.7098 0.2500 0.1121
0.7489 0.7500 0.2940
0.7511 0.2500 0.7940
0.7902 0.7500 0.6121
0.8752 0.0062 0.9921
0.8752 0.4938 0.9921
0.9935 0.5022 0.3270
0.9935 0.9978 0.3270
```

***

[3]
The following is a DFT calculation (PBEsol) of a geometry-optimized MgTiBiP3O12 structure.

Results
Electronic total energy   -272.36 eV for the cell shown
Energy relative to the elements, uncorrected   -2.305 eV/atom

POSCAR file:
```
MgTiBiP3O12
1.0
4.4504 2.5694 6.5137
-4.4504 2.5694 6.5137
0.0000 -5.1389 6.5137
Mg Ti Bi P O
2 2 2 6 24
Direct
0.0000 0.0000 0.0000
0.5000 0.5000 0.5000
0.1559 0.1559 0.1559
0.6559 0.6559 0.6559
0.3373 0.3373 0.3373
0.8373 0.8373 0.8373
0.0752 0.7654 0.4365
0.2654 0.5752 0.9365
0.4365 0.0752 0.7654
0.5752 0.9365 0.2654
0.7654 0.4365 0.0752
0.9365 0.2654 0.5752
0.0149 0.2120 0.3872
0.0684 0.3446 0.5781
0.0746 0.9164 0.2441
0.0781 0.8446 0.5684
0.0983 0.7537 0.9200
0.2120 0.3872 0.0149
0.2441 0.0746 0.9164
0.2537 0.5983 0.4200
0.3446 0.5781 0.0684
0.3872 0.0149 0.2120
0.4164 0.5746 0.7441
0.4200 0.2537 0.5983
0.5149 0.8872 0.7120
0.5684 0.0781 0.8446
0.5746 0.7441 0.4164
0.5781 0.0684 0.3446
0.5983 0.4200 0.2537
0.7120 0.5149 0.8872
0.7441 0.4164 0.5746
0.7537 0.9200 0.0983
0.8446 0.5684 0.0781
0.8872 0.7120 0.5149
0.9164 0.2441 0.0746
0.9200 0.0983 0.7537
```

***

[4]
The following is a DFT calculation (PBEsol) of a geometry-optimized Mg2BiRuO structure.

Results
Electronic total energy   -24.25 eV for the cell shown
Energy relative to the elements, uncorrected   -0.222 eV/atom

POSCAR file:
```
Mg2BiRuO
1.0
5.3191 0.0000 0.0000
0.0000 5.3191 0.0000
0.0000 0.0000 3.6268
Mg Bi Ru O
2 1 1 1
Direct
0.0000 0.5000 0.0000
0.5000 0.0000 0.0000
0.0000 0.0000 0.5000
0.5000 0.5000 0.0000
0.5000 0.5000 0.5000
```

***

- Look up the electronic total energy of the first one.
  -136.36 eV for the cell shown

***

- Number 3 is which compound?
  MgTiBiP3O12

***

- Among the records above, which one has the highest energy relative to the elements, uncorrected?
  Mg2BiRuO

***

- The highest electronic total energy belongs to which entry?
  Mg2BiRuO